Here is a geometry-optimized CsYBr3 structure from Alexandria. Energies are from GGA-PBEsol.

```
5
Lattice="6.220 0.000 0.000 0.000 6.220 0.000 0.000 0.000 6.220" Properties=species:S:1:pos:R:3 pbc="T T T"
Cs 0.000 0.000 0.000
Y 3.110 3.110 3.110
Br 0.000 0.000 3.110
Br 0.000 3.110 0.000
Br 3.110 0.000 0.000
```

Size of the total moment: 0.987 μB per cell
Energy: -2.9086 eV per atom
Space group: Pm-3m
ΔE_f (raw): -1.17 eV per formula unit


Here is a geometry-optimized ScAl structure from Alexandria. Energies are from GGA-PBEsol.

```
4
Lattice="1.646 -5.502 0.000 1.646 5.502 0.000 0.000 0.000 4.331" Properties=species:S:1:pos:R:3 pbc="T T T"
Sc 1.646 3.713 3.248
Sc 1.646 -3.713 1.083
Al 1.646 0.765 3.248
Al 1.646 -0.765 1.083
```

Size of the total moment: 0.005 μB per cell
Energy: -5.7555 eV per atom
Space group: Cmcm


Here is a geometry-optimized YF3 structure from Alexandria. Energies are from GGA-PBEsol.

```
4
Lattice="4.327 0.000 0.000 0.000 4.327 0.000 0.000 0.000 4.327" Properties=species:S:1:pos:R:3 pbc="T T T"
Y 0.000 0.000 0.000
F 0.000 0.000 2.163
F 0.000 2.163 0.000
F 2.163 0.000 0.000
```

Size of the total moment: 0.041 μB per cell
Energy: -7.2697 eV per atom
Space group: Pm-3m
ΔE_f (raw): -16.47 eV per formula unit


Here is a geometry-optimized Ti3TlOs structure from Alexandria. Energies are from GGA-PBEsol.

```
5
Lattice="4.711 0.000 0.000 0.000 4.711 0.000 0.000 0.000 4.711" Properties=species:S:1:pos:R:3 pbc="T T T"
Ti 0.000 0.000 2.355
Ti 0.000 2.355 0.000
Ti 2.355 0.000 0.000
Tl 2.355 2.355 2.355
Os 0.000 0.000 0.000
```

Size of the total moment: 0.001 μB per cell
Energy: -7.5505 eV per atom
Space group: Pm-3m


Here is a geometry-optimized Ca2CoCu structure from Alexandria. Energies are from GGA-PBEsol.

```
4
Lattice="-1.777 2.235 5.189 1.777 -2.235 5.189 1.777 2.235 -5.189" Properties=species:S:1:pos:R:3 pbc="T T T"
Ca 0.000 0.000 0.000
Ca 0.000 2.235 2.281
Co 0.000 0.000 4.469
Cu 1.777 0.000 2.960
```

Size of the total moment: 0.498 μB per cell
Energy: -3.8400 eV per atom
Space group: Imm2


Here is a geometry-optimized KTa2InSe structure from Alexandria. Energies are from GGA-PBEsol.

```
5
Lattice="5.217 0.000 0.000 0.000 5.217 0.000 0.000 0.000 5.587" Properties=species:S:1:pos:R:3 pbc="T T T"
K 0.000 0.000 0.000
Ta 0.000 2.608 2.794
Ta 2.608 0.000 2.794
In 2.608 2.608 2.794
Se 2.608 2.608 0.000
```

Size of the total moment: 4.048 μB per cell
Energy: -4.8230 eV per atom
Space group: P4/mmm
ΔE_f (raw): 8.95 eV per formula unit


Question: Among the records above, which one has the lowest energy?
Answer: Ti3TlOs


Question: Among the records above, which one has the lowest size of the total moment?
Answer: Ti3TlOs